No. 1
First-principles (PBEsol) data for crystalline AsPb3 at its relaxed geometry, as listed in the Alexandria database.

Cell: 3.9838 3.9838 8.7219 Å, 76.80 76.80 60.00°
With the nearest neighbours (Å) after each atom.
Sites, in units of the cell vectors:
1 Pb 0.2638 0.2638 0.2085  3 As 2.89
2 Pb 0.7362 0.7362 0.7915  3 As 2.89
3 Pb 0.5000 0.5000 0.5000  6 Pb 3.36
4 As 0.0000 0.0000 0.0000  6 Pb 2.89

- Excess energy over the best structure of this formula in the dataset: 0.153 eV/f.u.

---

No. 2
First-principles (PBEsol) data for crystalline Cr3SiRh at its relaxed geometry, as listed in the Alexandria database.

Cell: 4.1688 4.1688 4.1688 Å, 90.00 90.00 90.00°
With the nearest neighbours (Å) after each atom.
Sites, in units of the cell vectors:
1 Cr 0.0000 0.0000 0.5000  2 Si 2.08
2 Cr 0.5000 0.0000 0.0000  2 Si 2.08
3 Cr 0.0000 0.5000 0.0000  2 Si 2.08
4 Rh 0.5000 0.5000 0.5000  12 Cr 2.95
5 Si 0.0000 0.0000 0.0000  6 Cr 2.08

- Formation energy (no corrections): 5.7 eV/f.u.

---

No. 3
First-principles (PBEsol) data for crystalline Y2RhW at its relaxed geometry, as listed in the Alexandria database.

Cell: 4.8415 4.8415 4.8415 Å, 60.00 60.00 60.00°
With the nearest neighbours (Å) after each atom.
Sites, in units of the cell vectors:
1 W 0.0000 0.0000 0.0000  8 Y 2.96
2 Y 0.7500 0.7500 0.7500  4 W 2.96, 4 Rh 2.96
3 Y 0.2500 0.2500 0.2500  4 W 2.96, 4 Rh 2.96
4 Rh 0.5000 0.5000 0.5000  8 Y 2.96

- Excess energy over the best structure of this formula in the dataset: 0.830 eV/f.u.

---

No. 4
First-principles (PBEsol) data for crystalline HfCrSb2Te at its relaxed geometry, as listed in the Alexandria database.

Cell: 4.9122 4.9122 5.2090 Å, 90.00 90.00 90.00°
With the nearest neighbours (Å) after each atom.
Sites, in units of the cell vectors:
1 Sb 0.0000 0.5000 0.0000  2 Cr 2.46
2 Sb 0.5000 0.0000 0.0000  2 Cr 2.46
3 Hf 0.5000 0.5000 0.5000  4 Te 3.47, 8 Sb 3.58
4 Te 0.0000 0.0000 0.5000  2 Cr 2.60
5 Cr 0.0000 0.0000 0.0000  4 Sb 2.46, 2 Te 2.60

- Formation energy (no corrections): 3.2 eV/f.u.

---

| no. | spin magnetization (μB per atom) | calculated volume (Å³ per atom) | final energy (eV per cell) |
| --- | --- | --- | --- |
| 1 | 0.000 | 28.9 | -16.78 |
| 2 | 0.764 | 14.5 | -38.88 |
| 3 | 0.374 | 20.1 | -34.68 |
| 4 | 0.563 | 25.1 | -30.15 |